This record from Alexandria via LeMat-Bulk describes a geometry-optimized Zn2PdWO structure. The functional is GGA+U.

Cell: 4.2416 4.2416 4.2494 Å, 90.00 90.00 90.00°
Closest atoms and distances in Å follow each position.
Positions (direct):
Zn 0.0000 0.5000 0.0000  2 O 2.12
Zn 0.5000 0.0000 0.0000  2 O 2.12
Pd 0.0000 0.0000 0.5000  4 W 3.00, 8 Zn 3.00
W 0.5000 0.5000 0.5000  2 O 2.12
O 0.5000 0.5000 0.0000  4 Zn 2.12, 2 W 2.12

For the total DFT energy (no corrections), the calculation gives -4.05 eV/atom. Its space group is P4/mmm, No. 123. The value obtained for the density of states at the Fermi level is 0.353 states/eV per atom.